Material: Tl2PdAu
Method: DFT, PBE
State: optimized geometry

a = 10.0629 Å, b = 10.0629 Å, c = 10.0629 Å
α = 154.40°, β = 154.40°, γ = 36.52°
Element x y z (fractional)
Tl 0.1157 0.6250 0.9907
Tl 0.3750 0.3657 0.4907
Tl 0.6343 0.1250 0.0093
Tl 0.8750 0.8843 0.5093
Pd 0.0000 0.0000 0.0000
Pd 0.7500 0.2500 0.5000
Au 0.2500 0.7500 0.5000
Au 0.5000 0.5000 0.0000

E above lowest polymorph in meV per atom: 236
E_form in eV/atom: 0.1257

---

Material: Tl2Pd9Au
Method: DFT, PBE
State: optimized geometry

a = 4.0653 Å, b = 4.0653 Å, c = 12.1013 Å
α = 90.00°, β = 90.00°, γ = 90.00°
Element x y z (fractional)
Tl 0.0000 0.0000 0.1692
Tl 0.0000 0.0000 0.8308
Pd 0.0000 0.5000 0.0000
Pd 0.0000 0.5000 0.3376
Pd 0.0000 0.5000 0.6624
Pd 0.5000 0.0000 0.0000
Pd 0.5000 0.0000 0.3376
Pd 0.5000 0.0000 0.6624
Pd 0.5000 0.5000 0.1693
Pd 0.5000 0.5000 0.5000
Pd 0.5000 0.5000 0.8307
Au 0.0000 0.0000 0.5000

E_form in eV/atom: -0.1332

---

Material: Tl2PdAu
Method: DFT, PBE
State: optimized geometry

a = 3.3709 Å, b = 3.3709 Å, c = 7.5515 Å
α = 90.00°, β = 90.00°, γ = 90.00°
Element x y z (fractional)
Tl 0.0000 0.0000 0.2355
Tl 0.0000 0.0000 0.7645
Pd 0.5000 0.5000 0.0000
Au 0.5000 0.5000 0.5000

E above lowest polymorph in meV per atom: 120
E_form in eV/atom: 0.0093

---

Material: Tl2Pd5Au5
Method: DFT, PBE
State: optimized geometry

a = 6.3829 Å, b = 6.3829 Å, c = 9.2018 Å
α = 113.12°, β = 113.12°, γ = 38.64°
Element x y z (fractional)
Tl 0.0841 0.0841 0.2475
Tl 0.9159 0.9159 0.7525
Pd 0.0000 0.0000 0.5000
Pd 0.1660 0.1660 0.9952
Pd 0.2540 0.2540 0.7523
Pd 0.7460 0.7460 0.2477
Pd 0.8340 0.8340 0.0048
Au 0.3367 0.3367 0.4972
Au 0.4048 0.4048 0.2425
Au 0.5000 0.5000 0.0000
Au 0.5952 0.5952 0.7575
Au 0.6633 0.6633 0.5028

E_form in eV/atom: -0.0882

---

Material: TlPd2Au2
Method: DFT, PBE
State: optimized geometry

a = 7.8303 Å, b = 7.8303 Å, c = 3.1257 Å
α = 90.00°, β = 90.00°, γ = 90.00°
Element x y z (fractional)
Tl 0.0000 0.0000 0.0000
Tl 0.5000 0.5000 0.0000
Pd 0.1631 0.3369 0.5000
Pd 0.3369 0.8369 0.5000
Pd 0.6631 0.1631 0.5000
Pd 0.8369 0.6631 0.5000
Au 0.1324 0.6324 0.0000
Au 0.3676 0.1324 0.0000
Au 0.6324 0.8676 0.0000
Au 0.8676 0.3676 0.0000

E above lowest polymorph in meV per atom: 69
E_form in eV/atom: 0.0124

---

Material: Tl2PdAu2
Method: DFT, PBE
State: optimized geometry

a = 8.6484 Å, b = 8.6484 Å, c = 8.6484 Å
α = 154.82°, β = 154.82°, γ = 35.90°
Element x y z (fractional)
Tl 0.0954 0.0954 0.0000
Tl 0.9046 0.9046 0.0000
Pd 0.5000 0.5000 0.0000
Au 0.2500 0.7500 0.5000
Au 0.7500 0.2500 0.5000

E above lowest polymorph in meV per atom: 110
E_form in eV/atom: 0.0734

---

- Which formula does entry 2 have?
  Tl2Pd9Au